First-principles (PBE) data for BaTcIr after structural relaxation, as listed in Alexandria via LeMat-Bulk.

Lattice parameters (Å, degrees): 6.373 4.508 5.288 90.00 89.51 110.72
Element x y z (fractional)
Ir 0.125 0.444 0.290
Ir 0.059 0.911 0.561
Ba 0.495 0.628 0.798
Ba 0.610 0.186 0.303
Tc 0.051 0.907 0.064
Tc 0.991 0.377 0.793

Values from the calculation:
**ΔE_f**: 0.184 eV/atom
**ρ**: 10.0 g/cm³
**V**: 142.1 Å³/cell
**Magnetic moment**: 0.00 μB per formula unit
**SG**: No. 8
**Polymorph energy (0 for the lowest one)**: 101 meV/atom



First-principles (PBE) data for BeNi2Br after structural relaxation, as listed in Alexandria via LeMat-Bulk.

Lattice parameters (Å, degrees): 3.761 3.761 8.150 76.66 76.66 90.00
Element x y z (fractional)
Ni 0.596 0.125 0.250
Ni 0.154 0.625 0.250
Ni 0.375 0.404 0.750
Ni 0.875 0.846 0.750
Br 0.000 0.000 0.000
Br 0.750 0.250 0.500
Be 0.500 0.500 0.000
Be 0.250 0.750 0.500

Values from the calculation:
**ρ**: 6.3 g/cm³
**V**: 109.0 Å³/cell
**Formation energy without anion corrections**: 480 meV per atom
**Magnetic moment**: 0.00 μB per formula unit
**SG**: No. 122
**Polymorph energy (0 for the lowest one)**: 346 meV/atom



First-principles (PBE) data for LaCr2AgB after structural relaxation, as listed in Alexandria via LeMat-Bulk.

Lattice parameters (Å, degrees): 4.678 5.690 4.678 90.00 90.00 90.00
Site moments in Bohr magnetons follow the coordinates.
Element x y z (fractional)
Cr 0.000 0.000 0.500  -0.09
Cr 0.500 0.000 0.000  -0.15
B 0.500 0.500 0.500  0.18
Ag 0.000 0.000 0.000  0.01
La 0.000 0.500 0.000  0.10

Values from the calculation:
**ΔE_f**: 2.310 eV/atom
**ρ**: 4.8 g/cm³
**V**: 124.5 Å³/cell
**Magnetic moment**: 0.51 μB per formula unit
**SG**: No. 123



- Which formula does entry 2 have?
  BeNi2Br